(1)
Below is Li2ZnHg after structural relaxation, with properties calculated at the PBE-GGA level.

Cell: 4.504 4.504 4.504 Å, 60.00 60.00 60.00°
Element x y z (fractional)
Hg: 0.250 0.250 0.250
Li: 0.000 0.000 0.000
Li: 0.750 0.750 0.750
Zn: 0.500 0.500 0.500

## Properties
Crystal system: cubic

=====

(2)
Below is LiZn2Hg after structural relaxation, with properties calculated at the PBE-GGA level.

Cell: 4.511 4.511 4.511 Å, 60.00 60.00 60.00°
Element x y z (fractional)
Hg: 0.250 0.250 0.250
Li: 0.500 0.500 0.500
Zn: 0.000 0.000 0.000
Zn: 0.750 0.750 0.750

## Properties
Crystal system: cubic

=====

(3)
Below is Li8Zn2Hg after structural relaxation, with properties calculated at the PBE-GGA level.

Cell: 4.468 4.468 10.297 Å, 102.55 102.55 60.07°
Element x y z (fractional)
Hg: 0.000 0.000 0.000
Li: 0.366 0.366 0.098
Li: 0.729 0.729 0.186
Li: 0.093 0.093 0.277
Li: 0.819 0.819 0.458
Li: 0.181 0.181 0.542
Li: 0.907 0.907 0.723
Li: 0.271 0.271 0.814
Li: 0.634 0.634 0.902
Zn: 0.457 0.457 0.371
Zn: 0.543 0.543 0.629

## Properties
Crystal system: monoclinic

=====

(4)
Below is LiZrHg after structural relaxation, with properties calculated at the PBE-GGA level.

Cell: 4.642 4.642 4.642 Å, 60.00 60.00 60.00°
Element x y z (fractional)
Hg: 0.250 0.250 0.250
Li: 0.750 0.750 0.750
Zr: 0.000 0.000 0.000

## Properties
Crystal system: cubic
Magnetic moment (Bohr magnetons per cell): 0.01
E above lowest polymorph (eV per atom): 0.285

=====

(5)
Below is LiZr2Hg after structural relaxation, with properties calculated at the PBE-GGA level.

Cell: 4.918 4.918 4.918 Å, 60.00 60.00 60.00°
Site moments in Bohr magnetons follow the coordinates.
Element x y z (fractional)
Hg: 0.250 0.250 0.250  0.01
Li: 0.500 0.500 0.500  0.00
Zr: 0.000 0.000 0.000  0.90
Zr: 0.750 0.750 0.750  1.21

## Properties
Crystal system: cubic
Magnetic moment (Bohr magnetons per cell): 3.00

=====

(6)
Below is LiZrHg after structural relaxation, with properties calculated at the PBE-GGA level.

Cell: 4.608 4.608 4.608 Å, 60.00 60.00 60.00°
Element x y z (fractional)
Hg: 0.000 0.000 0.000
Li: 0.250 0.250 0.250
Zr: 0.750 0.750 0.750

## Properties
Crystal system: cubic
Magnetic moment (Bohr magnetons per cell): 0.34
E above lowest polymorph (eV per atom): 0.000

=====

(7)
Below is LuMgHg2 after structural relaxation, with properties calculated at the PBE-GGA level.

Cell: 4.831 4.831 9.066 Å, 90.00 90.00 120.00°
Element x y z (fractional)
Hg: 0.667 0.333 0.090
Hg: 0.667 0.333 0.410
Hg: 0.333 0.667 0.590
Hg: 0.333 0.667 0.910
Lu: 0.333 0.667 0.250
Lu: 0.667 0.333 0.750
Mg: 0.000 0.000 0.000
Mg: 0.000 0.000 0.500

## Properties
Crystal system: hexagonal
Magnetic moment (Bohr magnetons per cell): 0.00
E above lowest polymorph (eV per atom): 0.000

=====

(8)
Below is LuMgHg after structural relaxation, with properties calculated at the PBE-GGA level.

Cell: 4.827 4.827 4.827 Å, 60.00 60.00 60.00°
Element x y z (fractional)
Hg: 0.000 0.000 0.000
Lu: 0.250 0.250 0.250
Mg: 0.750 0.750 0.750

## Properties
Crystal system: cubic
Magnetic moment (Bohr magnetons per cell): 0.88

=====

Number 1: energy -1.6279 eV per atom. Number 2: energy -1.3254 eV per atom. Number 3: energy -1.8169 eV per atom. Number 4: energy -3.0910 eV per atom. Number 5: energy -4.6421 eV per atom. Number 6: energy -3.3755 eV per atom. Number 7: energy -1.9801 eV per atom. Number 8: energy -2.2878 eV per atom.